Density functional theory data (PBE) for Y2AlZn2Ga after structural relaxation.

Its space-group type is Pm, No. 6. As for the raw total energy: -4.0901 eV per atom. Its total moment is 0.003 μB/cell. As for the crystal system: monoclinic.

Cell: 11.116 4.538 11.117 Å, 90.00 109.50 90.00°
Fractional positions:
Y  0.000  0.000  0.000
Y  0.123  0.500  0.379
Y  0.248  0.000  0.753
Y  0.374  0.500  0.124
Y  0.501  0.000  0.504
Y  0.625  0.500  0.877
Y  0.749  0.000  0.252
Y  0.876  0.500  0.628
Al  0.250  0.000  0.252
Al  0.374  0.500  0.627
Al  0.624  0.500  0.377
Al  0.875  0.500  0.127
Zn  0.125  0.500  0.129
Zn  0.251  0.000  0.503
Zn  0.375  0.500  0.875
Zn  0.499  0.000  0.253
Zn  0.625  0.500  0.627
Zn  0.751  0.000  0.003
Zn  0.873  0.500  0.377
Zn  0.999  0.000  0.751
Ga  0.000  0.000  0.502
Ga  0.125  0.500  0.877
Ga  0.500  0.000  0.002
Ga  0.750  0.000  0.752